Record 1
First-principles (GGA-PBE) data for a geometry-optimized Ba2GeIrSe structure, as listed in Alexandria.

Properties
The crystal system is tetragonal. The volume is 171.8 Å³/cell. The total energy comes out at -24.690 eV/cell. Its magnetization is 0.00 μB/f.u. The calculation puts the formation energy without anion corrections at -0.776 eV/atom.

```
data_Ba2GeIrSe
_chemical_formula_sum 'Ba2 Ge1 Ir1 Se1'
_space_group_name_H-M_alt 'P 4/m m m'
_space_group_IT_number 123
_space_group_name_Hall '-P 4 2'
_cell_length_a 6.071
_cell_length_b 6.071
_cell_length_c 4.662
_cell_angle_alpha 90.00
_cell_angle_beta 90.00
_cell_angle_gamma 90.00
loop_
_atom_site_label
_atom_site_fract_x
_atom_site_fract_y
_atom_site_fract_z
Ba1 0.000 0.500 0.000
Ge1 0.000 0.000 0.500
Ir1 0.000 0.000 0.000
Se1 0.500 0.500 0.500
```

Record 2
First-principles (GGA-PBE) data for a geometry-optimized BaGe2IrSe8 structure, as listed in Alexandria.

Properties
The crystal system is trigonal. The volume is 309.2 Å³/cell. The total energy comes out at -53.038 eV/cell. Its magnetization is 0.00 μB/f.u. The calculation puts the formation energy without anion corrections at -0.429 eV/atom.

```
data_BaGe2IrSe8
_chemical_formula_sum 'Ba1 Ge2 Ir1 Se8'
_space_group_name_H-M_alt 'P -3'
_space_group_IT_number 147
_cell_length_a 6.1309
_cell_length_b 6.1309
_cell_length_c 9.4996
_cell_angle_alpha 90.00
_cell_angle_beta 90.00
_cell_angle_gamma 120.00
loop_
_space_group_symop_operation_xyz
'x,y,z'
'-x,-y,-z'
'-y,x-y,z'
'y,-x+y,-z'
'-x+y,-x,z'
'x-y,x,-z'
loop_
_atom_site_label
_atom_site_fract_x
_atom_site_fract_y
_atom_site_fract_z
Ba1 0.0000 0.0000 0.0000
Ge1 0.3333 0.6667 0.7268
Ir1 0.0000 0.0000 0.5000
Se1 0.0573 0.7167 0.3345
Se2 0.3333 0.6667 0.9754
```

Record 3
First-principles (GGA-PBE) data for a geometry-optimized BaSnGeIr structure, as listed in Alexandria.

Properties
The crystal system is tetragonal. The volume is 220.7 Å³/cell. The total energy comes out at -42.982 eV/cell. Its magnetization is 0.00 μB/f.u. The formation enthalpy at 0 K is -522 meV/atom.

```
data_BaSnGeIr
_chemical_formula_sum 'Ba2 Sn2 Ge2 Ir2'
_space_group_name_H-M_alt 'P 4/n m m'
_space_group_IT_number 129
_cell_length_a 4.259
_cell_length_b 4.259
_cell_length_c 12.171
_cell_angle_alpha 90.00
_cell_angle_beta 90.00
_cell_angle_gamma 90.00
loop_
_space_group_symop_operation_xyz
'x,y,z'
'-x,-y,-z'
'-y+1/2,x,z'
'y+1/2,-x,-z'
'-x+1/2,-y+1/2,z'
'x+1/2,y+1/2,-z'
'y,-x+1/2,z'
'-y,x+1/2,-z'
'x+1/2,-y,-z'
'-x+1/2,y,z'
'-y,-x,-z'
'y,x,z'
'-x,y+1/2,-z'
'x,-y+1/2,z'
'y+1/2,x+1/2,-z'
'-y+1/2,-x+1/2,z'
loop_
_atom_site_label
_atom_site_fract_x
_atom_site_fract_y
_atom_site_fract_z
Ba1 0.250 0.250 0.243
Sn1 0.250 0.750 0.500
Ge1 0.250 0.250 0.894
Ir1 0.250 0.750 0.000
```

Record 4
First-principles (GGA-PBE) data for a geometry-optimized Ba2GeTeIr structure, as listed in Alexandria.

Properties
The crystal system is tetragonal. The volume is 177.4 Å³/cell. The total energy comes out at -24.408 eV/cell. Its magnetization is 0.00 μB/f.u. The calculation puts the formation energy without anion corrections at -0.788 eV/atom.

```
data_Ba2GeTeIr
_chemical_formula_sum 'Ba2 Ge1 Te1 Ir1'
_space_group_name_H-M_alt 'P 4/m m m'
_space_group_IT_number 123
_space_group_name_Hall '-P 4 2'
_cell_length_a 6.146
_cell_length_b 6.146
_cell_length_c 4.697
_cell_angle_alpha 90.00
_cell_angle_beta 90.00
_cell_angle_gamma 90.00
loop_
_atom_site_label
_atom_site_fract_x
_atom_site_fract_y
_atom_site_fract_z
Ba1 0.000 0.500 0.000
Ge1 0.000 0.000 0.500
Te1 0.500 0.500 0.500
Ir1 0.000 0.000 0.000
```

Record 5
First-principles (GGA-PBE) data for a geometry-optimized BaGe2TeIr structure, as listed in Alexandria.

Properties
The crystal system is tetragonal. The volume is 175.1 Å³/cell. The total energy comes out at -14.843 eV/cell. Its magnetization is 0.00 μB/f.u. The calculation puts the formation energy without anion corrections at 1.664 eV/atom.

```
data_BaGe2TeIr
_chemical_formula_sum 'Ba1 Ge2 Te1 Ir1'
_space_group_name_H-M_alt 'P 4/m m m'
_space_group_IT_number 123
_space_group_name_Hall '-P 4 2'
_cell_length_a 5.834
_cell_length_b 5.834
_cell_length_c 5.144
_cell_angle_alpha 90.00
_cell_angle_beta 90.00
_cell_angle_gamma 90.00
loop_
_atom_site_label
_atom_site_fract_x
_atom_site_fract_y
_atom_site_fract_z
Ba1 0.000 0.000 0.000
Ge1 0.000 0.500 0.000
Te1 0.500 0.500 0.500
Ir1 0.000 0.000 0.500
```

Record 6
First-principles (GGA-PBE) data for a geometry-optimized Ba2TiGeIr structure, as listed in Alexandria.

Properties
The crystal system is tetragonal. The volume is 178.4 Å³/cell. The total energy comes out at -24.330 eV/cell. Its magnetization is 1.43 μB/f.u. The formation enthalpy at 0 K is 178 meV/atom.

```
data_Ba2TiGeIr
_chemical_formula_sum 'Ba2 Ti1 Ge1 Ir1'
_space_group_name_H-M_alt 'P 4/m m m'
_space_group_IT_number 123
_space_group_name_Hall '-P 4 2'
_cell_length_a 6.145
_cell_length_b 6.145
_cell_length_c 4.725
_cell_angle_alpha 90.00
_cell_angle_beta 90.00
_cell_angle_gamma 90.00
loop_
_atom_site_label
_atom_site_fract_x
_atom_site_fract_y
_atom_site_fract_z
Ba1 0.000 0.500 0.000
Ti1 0.000 0.000 0.500
Ge1 0.500 0.500 0.500
Ir1 0.000 0.000 0.000
```